# 1
Here is a relaxed structure of Tm11Al9Co4 from Alexandria via LeMat-Bulk. Energies are from PBE.

Unit cell a=3.5132 b=12.3584 c=12.3584 alpha=112.52 beta=90.00 gamma=90.00
Element x y z (fractional)
Tm  0.0000  0.9260  0.5858
Tm  0.0000  0.0740  0.4142
Tm  0.0000  0.3120  0.3120
Tm  0.0000  0.0000  0.0000
Tm  0.0000  0.1644  0.8356
Tm  0.0000  0.4142  0.0740
Tm  0.0000  0.6880  0.6880
Tm  0.0000  0.3753  0.6247
Tm  0.0000  0.5858  0.9260
Tm  0.0000  0.8356  0.1644
Tm  0.0000  0.6247  0.3753
Al  0.5000  0.2206  0.0832
Al  0.5000  0.1671  0.6302
Al  0.5000  0.3698  0.8329
Al  0.5000  0.7794  0.9168
Al  0.5000  0.0832  0.2206
Al  0.5000  0.9168  0.7794
Al  0.5000  0.6302  0.1671
Al  0.5000  0.5000  0.5000
Al  0.5000  0.8329  0.3698
Co  0.5000  0.4470  0.2441
Co  0.5000  0.2441  0.4470
Co  0.5000  0.7559  0.5530
Co  0.5000  0.5530  0.7559

Properties
DOS at the Fermi energy = 12.313 states/eV per cell
calculated formation energy = -430 meV/atom

---

# 2
Here is a relaxed structure of Tm7Al2Co2 from Alexandria via LeMat-Bulk. Energies are from PBE.

Unit cell a=6.5616 b=6.7689 c=6.5616 alpha=90.00 beta=109.04 gamma=90.00
Element x y z (fractional)
Al  0.1691  0.5000  0.1691
Al  0.8309  0.5000  0.8309
Co  0.7070  0.0000  0.2930
Co  0.2930  0.0000  0.7070
Tm  0.5000  0.2502  0.0000
Tm  0.0000  0.7498  0.5000
Tm  0.5000  0.7582  0.5000
Tm  0.0000  0.2502  0.5000
Tm  0.5000  0.2418  0.5000
Tm  0.0000  0.0000  0.0000
Tm  0.5000  0.7498  0.0000

Properties
DOS at the Fermi energy = 10.777 states/eV per cell
calculated formation energy = -143 meV/atom

---

# 3
Here is a relaxed structure of Tm6AlCo from Alexandria via LeMat-Bulk. Energies are from PBE.

Unit cell a=6.1920 b=6.1920 c=6.1713 alpha=98.24 beta=98.24 gamma=104.50
Element x y z (fractional)
Tm  0.1950  0.5620  0.2151
Tm  0.2164  0.2164  0.6378
Tm  0.7836  0.7836  0.3622
Tm  0.5620  0.1950  0.2151
Tm  0.4380  0.8050  0.7849
Tm  0.8050  0.4380  0.7849
Co  0.5000  0.5000  0.5000
Al  0.0000  0.0000  0.0000

Properties
DOS at the Fermi energy = 11.521 states/eV per cell
calculated formation energy = 25 meV/atom

---

# 4
Here is a relaxed structure of Tm4AlCo2 from Alexandria via LeMat-Bulk. Energies are from PBE.

Unit cell a=6.6690 b=7.1258 c=9.0643 alpha=130.97 beta=103.24 gamma=84.27
Element x y z (fractional)
Co  0.6293  0.8387  0.2113
Co  0.5611  0.0748  0.0234
Co  0.7199  0.5590  0.8998
Co  0.0664  0.4668  0.9429
Tm  0.8689  0.0957  0.5962
Tm  0.9416  0.0260  0.2068
Tm  0.8301  0.4570  0.1527
Tm  0.4437  0.2357  0.3563
Tm  0.3564  0.6417  0.2540
Tm  0.3152  0.6727  0.8759
Tm  0.7727  0.7233  0.7217
Tm  0.4270  0.1570  0.7587
Al  0.1612  0.1222  0.9563
Al  0.1566  0.6793  0.5441

Properties
DOS at the Fermi energy = 11.308 states/eV per cell
calculated formation energy = -189 meV/atom

---

# 5
Here is a relaxed structure of TmAlCo2 from Alexandria via LeMat-Bulk. Energies are from PBE.

Unit cell a=3.0890 b=3.0890 c=6.1476 alpha=90.00 beta=90.00 gamma=90.00
Element x y z (fractional)
Tm  0.5000  0.5000  0.5000
Al  0.5000  0.5000  0.0000
Co  0.0000  0.0000  0.2126
Co  0.0000  0.0000  0.7874

Properties
DOS at the Fermi energy = 2.050 states/eV per cell
calculated formation energy = -307 meV/atom

---

# 6
Here is a relaxed structure of TmAlCo2 from Alexandria via LeMat-Bulk. Energies are from PBE.

Unit cell a=3.1998 b=4.2692 c=4.2692 alpha=90.00 beta=90.00 gamma=90.00
Element x y z (fractional)
Tm  0.5000  0.0000  0.0000
Co  0.0000  0.5000  0.0000
Co  0.0000  0.0000  0.5000
Al  0.5000  0.5000  0.5000

Properties
DOS at the Fermi energy = 1.753 states/eV per cell
calculated formation energy = -295 meV/atom

---

# 7
Here is a relaxed structure of Tm2Al2Co15 from Alexandria via LeMat-Bulk. Energies are from PBE.

Unit cell a=6.2823 b=6.2823 c=6.2823 alpha=82.60 beta=82.60 gamma=82.60
Element x y z (fractional)
Co  0.0000  0.0000  0.5000
Co  0.1499  0.6477  0.6477
Co  0.6477  0.1499  0.6477
Co  0.0000  0.7118  0.2882
Co  0.5000  0.0000  0.0000
Co  0.3523  0.8501  0.3523
Co  0.6477  0.6477  0.1499
Co  0.2882  0.7118  0.0000
Co  0.0000  0.2882  0.7118
Co  0.3523  0.3523  0.8501
Co  0.0000  0.5000  0.0000
Co  0.8501  0.3523  0.3523
Co  0.2882  0.0000  0.7118
Co  0.7118  0.2882  0.0000
Co  0.7118  0.0000  0.2882
Al  0.8938  0.8938  0.8938
Al  0.1062  0.1062  0.1062
Tm  0.6474  0.6474  0.6474
Tm  0.3526  0.3526  0.3526

Properties
DOS at the Fermi energy = 21.670 states/eV per cell
calculated formation energy = -184 meV/atom

---

# 8
Here is a relaxed structure of Tm3AlCo8 from Alexandria via LeMat-Bulk. Energies are from PBE.

Unit cell a=4.9402 b=4.9402 c=8.5951 alpha=73.30 beta=73.30 gamma=60.00
Element x y z (fractional)
Co  0.4365  0.9336  0.1935
Co  0.9379  0.4440  0.6802
Co  0.4440  0.9379  0.6802
Co  0.9379  0.9379  0.6802
Co  0.6879  0.6879  0.9363
Co  0.4365  0.4365  0.1935
Co  0.9336  0.4365  0.1935
Co  0.1884  0.1884  0.4348
Tm  0.3757  0.3757  0.8730
Tm  0.5031  0.5031  0.4908
Tm  0.9955  0.9955  0.0135
Al  0.8732  0.8732  0.3805

Properties
DOS at the Fermi energy = 16.663 states/eV per cell
calculated formation energy = -258 meV/atom

---

# 9
Here is a relaxed structure of Tm8Al2Co from Alexandria via LeMat-Bulk. Energies are from PBE.

Unit cell a=5.1980 b=6.6856 c=8.9667 alpha=110.80 beta=106.85 gamma=90.00
Element x y z (fractional)
Co  0.5000  0.0000  0.0000
Tm  0.7992  0.7295  0.5985
Tm  0.0141  0.7770  0.0281
Tm  0.6447  0.9333  0.2893
Tm  0.5965  0.4144  0.1930
Tm  0.2008  0.2705  0.4015
Tm  0.4035  0.5856  0.8070
Tm  0.3553  0.0667  0.7107
Tm  0.9859  0.2230  0.9719
Al  0.8205  0.3002  0.6410
Al  0.1795  0.6998  0.3590

Properties
DOS at the Fermi energy = 10.664 states/eV per cell
calculated formation energy = -174 meV/atom

---

# 10
Here is a relaxed structure of TmAl4Co from Alexandria via LeMat-Bulk. Energies are from PBE.

Unit cell a=4.7776 b=6.2350 c=8.2335 alpha=112.25 beta=106.92 gamma=90.00
Element x y z (fractional)
Al  0.1464  0.6470  0.2939
Al  0.3938  0.1344  0.7887
Al  0.8536  0.3530  0.7061
Al  0.6062  0.3457  0.2113
Al  0.0000  0.1935  0.0000
Al  0.0000  0.8065  0.0000
Al  0.6062  0.8656  0.2113
Al  0.3938  0.6543  0.7887
Co  0.7343  0.4997  0.9995
Co  0.2657  0.5003  0.0005
Tm  0.7911  0.7913  0.5827
Tm  0.2089  0.2087  0.4173

Properties
DOS at the Fermi energy = 7.055 states/eV per cell
calculated formation energy = -340 meV/atom

---

# 11
Here is a relaxed structure of TmAl12Co4 from Alexandria via LeMat-Bulk. Energies are from PBE.

Unit cell a=7.7442 b=7.7442 c=7.7442 alpha=109.47 beta=109.47 gamma=109.47
Element x y z (fractional)
Al  0.0006  0.7425  0.2581
Al  0.9994  0.2575  0.7419
Al  0.5156  0.2575  0.2581
Al  0.2575  0.2581  0.5156
Al  0.2581  0.5156  0.2575
Al  0.7419  0.4844  0.7425
Al  0.4844  0.7425  0.7419
Al  0.2575  0.7419  0.9994
Al  0.7419  0.9994  0.2575
Al  0.7425  0.7419  0.4844
Al  0.2581  0.0006  0.7425
Al  0.7425  0.2581  0.0006
Co  0.0000  0.0000  0.5000
Co  0.5000  0.5000  0.5000
Co  0.5000  0.0000  0.0000
Co  0.0000  0.5000  0.0000
Tm  0.0000  0.0000  0.0000

Properties
DOS at the Fermi energy = 9.874 states/eV per cell
calculated formation energy = -115 meV/atom

---

# 12
Here is a relaxed structure of Tm3Al5Co from Alexandria via LeMat-Bulk. Energies are from PBE.

Unit cell a=4.2838 b=6.8787 c=6.8787 alpha=120.00 beta=90.00 gamma=90.00
Element x y z (fractional)
Tm  0.0000  0.0000  0.4012
Tm  0.0000  0.4012  0.0000
Tm  0.0000  0.5988  0.5988
Al  0.5000  0.0000  0.7728
Al  0.5000  0.3333  0.6667
Al  0.5000  0.6667  0.3333
Al  0.5000  0.2272  0.2272
Al  0.5000  0.7728  0.0000
Co  0.0000  0.0000  0.0000

Properties
DOS at the Fermi energy = 3.680 states/eV per cell
calculated formation energy = -511 meV/atom